# 1
Density functional theory data (PBE) for MoPd2Rh8 after structural relaxation.

Output
Volume in Å³ per cell: 169.5
SG: No. 12
D(E_F) in states/eV/cell: 15.8
Calculated total energy in eV/f.u.: -77.09

a b c (Å): 4.5336 6.1722 7.0764
angles (deg): 112.03 103.73 100.98
Closest atoms and distances in Å follow each position.
Positions (direct):
Mo 0.5000 0.0000 0.0000  4 Rh 2.51-2.58
Pd 0.6916 0.6916 0.3832  8 Rh 2.61-2.74
Pd 0.3084 0.3084 0.6168  8 Rh 2.61-2.74
Rh 0.1639 0.3159 0.2209  4 Rh 2.49-2.73, 2 Pd 2.65-2.74
Rh 0.9429 0.0949 0.7790  4 Rh 2.49-2.73, 2 Pd 2.65-2.74
Rh 0.7202 0.4168 0.0000  4 Rh 2.41-2.57, 1 Mo 2.58, 2 Pd 2.65
Rh 0.7036 0.2036 0.4071  1 Mo 2.51, 2 Pd 2.61
Rh 0.2964 0.7964 0.5929  1 Mo 2.51, 2 Pd 2.61
Rh 0.2798 0.5832 0.0000  4 Rh 2.41-2.57, 1 Mo 2.58, 2 Pd 2.65
Rh 0.0571 0.9051 0.2210  4 Rh 2.49-2.73, 2 Pd 2.65-2.74
Rh 0.8361 0.6841 0.7791  4 Rh 2.49-2.73, 2 Pd 2.65-2.74


# 2
Density functional theory data (PBE) for AlCuS6 after structural relaxation.

Output
Volume in Å³ per cell: 175.4
SG: No. 2
D(E_F) in states/eV/cell: 3.1
Calculated total energy in eV/f.u.: -34.41
Raw formation energy in eV/atom: -0.226

a b c (Å): 7.8555 7.8556 3.4751
angles (deg): 90.16 90.09 54.87
Closest atoms and distances in Å follow each position.
Positions (direct):
Al 0.5000 0.5000 0.5000  6 S 2.37-2.46
Cu 0.0000 0.0000 0.0000  4 S 2.28
S 0.2302 0.8611 0.5001  2 Cu 2.28, 1 Al 2.37
S 0.3621 0.3879 0.9989  1 S 2.07
S 0.9572 0.3951 0.9979  2 S 2.07-2.11
S 0.6379 0.6121 0.0011  1 S 2.07
S 0.7698 0.1389 0.4999  2 Cu 2.28, 1 Al 2.37
S 0.0428 0.6049 0.0021  2 S 2.07-2.11


# 3
Density functional theory data (PBE) for KMg6Si after structural relaxation.

Output
Volume in Å³ per cell: 207.7
SG: No. 38
D(E_F) in states/eV/cell: 3.6
Calculated total energy in eV/f.u.: -14.81
Distance to the lowest polymorph of the same formula in meV per atom: 0
Raw formation energy in eV/atom: 0.159

a b c (Å): 7.8299 7.8299 4.6195
angles (deg): 90.00 90.00 132.84
Closest atoms and distances in Å follow each position.
Positions (direct):
K 0.2146 0.7854 0.0000  8 Mg 3.32-3.60, 2 Si 3.43
Mg 0.1674 0.3221 0.0000  2 Si 2.84, 3 Mg 2.99-3.07
Mg 0.6779 0.8326 0.0000  2 Si 2.84, 3 Mg 2.99-3.07
Mg 0.6388 0.3612 0.0000  6 Mg 3.05-3.27, 2 K 3.32
Mg 0.3009 0.1907 0.5000  1 Si 2.84, 5 Mg 2.99-3.08
Mg 0.8093 0.6991 0.5000  1 Si 2.84, 5 Mg 2.99-3.08
Mg 0.7998 0.2002 0.5000  6 Mg 3.27-3.29, 2 Si 3.40
Si 0.3913 0.6087 0.5000  6 Mg 2.84


# 4
Density functional theory data (PBE) for Tb4NdEr3S8 after structural relaxation.

Output
Volume in Å³ per cell: 341.7
SG: No. 166
D(E_F) in states/eV/cell: 8.6
Calculated total energy in eV/f.u.: -101.70
Raw formation energy in eV/atom: -1.981

a b c (Å): 7.8523 7.8424 7.8526
angles (deg): 120.04 120.00 90.00
Closest atoms and distances in Å follow each position.
Positions (direct):
Tb 0.5000 0.0000 0.0000  6 S 2.73
Tb 0.5000 0.0000 0.5000  6 S 2.80
Tb 0.0000 0.0000 0.0000  6 S 2.80
Tb 0.0000 0.0000 0.5000  6 S 2.80
Nd 0.0000 0.5000 0.0000  6 S 2.82
Er 0.5000 0.5000 0.0000  6 S 2.75
Er 0.5000 0.5000 0.5000  6 S 2.75
Er 0.0000 0.5000 0.5000  6 S 2.75
S 0.2544 0.7499 0.9955  3 Tb 2.73-2.80, 2 Er 2.75, 1 Nd 2.82
S 0.2544 0.7499 0.5088  3 Tb 2.73-2.80, 2 Er 2.75, 1 Nd 2.82
S 0.2522 0.2566 0.5044  3 Er 2.75, 3 Tb 2.80
S 0.7410 0.7499 0.9955  3 Tb 2.73-2.80, 2 Er 2.75, 1 Nd 2.82
S 0.2590 0.2501 0.0045  3 Tb 2.73-2.80, 2 Er 2.75, 1 Nd 2.82
S 0.7478 0.7434 0.4956  3 Er 2.75, 3 Tb 2.80
S 0.7456 0.2501 0.4912  3 Tb 2.73-2.80, 2 Er 2.75, 1 Nd 2.82
S 0.7456 0.2501 0.0045  3 Tb 2.73-2.80, 2 Er 2.75, 1 Nd 2.82


# 5
Density functional theory data (PBE) for BaSrCr after structural relaxation.

Output
Volume in Å³ per cell: 140.5
SG: No. 216
D(E_F) in states/eV/cell: 3.0
Calculated total energy in eV/f.u.: -11.31
Distance to the lowest polymorph of the same formula in meV per atom: 99

a b c (Å): 5.8351 5.8351 5.8351
angles (deg): 60.00 60.00 60.00
Closest atoms and distances in Å follow each position.
Positions (direct):
Ba 0.5000 0.5000 0.5000  4 Cr 3.57
Cr 0.7500 0.7500 0.7500  4 Ba 3.57, 4 Sr 3.57
Sr 0.0000 0.0000 0.0000  4 Cr 3.57


# 6
Density functional theory data (PBE) for Li2TbSm2Ge2 after structural relaxation.

Output
Volume in Å³ per cell: 161.3
SG: No. 166
D(E_F) in states/eV/cell: 2.7
Calculated total energy in eV/f.u.: -30.54

a b c (Å): 4.4482 4.4482 9.7559
angles (deg): 76.82 76.82 60.00
Closest atoms and distances in Å follow each position.
Positions (direct):
Li 0.6074 0.6074 0.1777  3 Ge 2.57
Li 0.3926 0.3926 0.8223  3 Ge 2.57
Tb 0.0000 0.0000 0.0000  6 Li 3.06, 6 Ge 3.15
Sm 0.1242 0.1242 0.6274  3 Ge 3.07, 3 Li 3.16
Sm 0.8758 0.8758 0.3726  3 Ge 3.07, 3 Li 3.16
Ge 0.7310 0.7310 0.8069  3 Li 2.57
Ge 0.2690 0.2690 0.1931  3 Li 2.57


# 7
Density functional theory data (PBE) for LiTm2H after structural relaxation.

Output
Volume in Å³ per cell: 89.5
SG: No. 166
D(E_F) in states/eV/cell: 3.4
Calculated total energy in eV/f.u.: -14.27

a b c (Å): 3.4203 3.4203 9.0493
angles (deg): 79.11 79.11 60.00
Closest atoms and distances in Å follow each position.
Positions (direct):
H 0.5000 0.5000 0.5000  6 Tm 2.37
Tm 0.1173 0.1173 0.6482  3 H 2.37
Tm 0.8827 0.8827 0.3518  3 H 2.37
Li 0.0000 0.0000 0.0000  2 Tm 3.11, 6 Li 3.42